This record from the Alexandria database describes a geometry-optimized Pr2Ta2N5 structure. The functional is PBE.

Cell and atoms, written as CIF:
```
data_Pr2Ta2N5
_symmetry_space_group_name_H-M 'P 1'
_symmetry_Int_Tables_number 1
_symmetry_space_group_name_Hall 'P 1'
_cell_length_a 5.8952
_cell_length_b 5.8640
_cell_length_c 8.8105
_cell_angle_alpha 108.95
_cell_angle_beta 109.06
_cell_angle_gamma 91.38
loop_
_atom_site_label
_atom_site_type_symbol
_atom_site_fract_x
_atom_site_fract_y
_atom_site_fract_z
Pr1 Pr 0.0853 0.1296 0.7174
Pr2 Pr 0.9147 0.8704 0.2826
Pr3 Pr 0.6321 0.5878 0.7174
Pr4 Pr 0.3679 0.4122 0.2826
Ta1 Ta 0.5000 0.0000 0.5000
Ta2 Ta 0.0000 0.5000 0.5000
Ta3 Ta 0.3281 0.8012 0.0000
Ta4 Ta 0.6719 0.1988 0.0000
N1 N 0.2505 0.2505 0.5010
N2 N 0.2681 0.7681 0.5361
N3 N 0.7319 0.2319 0.4639
N4 N 0.7495 0.7495 0.4990
N5 N 0.6832 0.1816 0.7770
N6 N 0.3168 0.8184 0.2230
N7 N 0.0938 0.5954 0.7770
N8 N 0.9062 0.4046 0.2230
N9 N 0.6744 0.8559 0.0000
N10 N 0.3256 0.1441 0.0000
```

Calculated values
Energy relative to the elements, uncorrected (eV/atom): -1.2558
Offset from the most stable computed form (meV/atom): 0
Density (g cm⁻³): 8.80
SG: No. 12

This record from the Alexandria database describes a geometry-optimized Pr3TaN5 structure. The functional is PBE.

Cell and atoms, written as CIF:
```
data_Pr3TaN5
_symmetry_space_group_name_H-M 'P 1'
_symmetry_Int_Tables_number 1
_symmetry_space_group_name_Hall 'P 1'
_cell_length_a 6.9139
_cell_length_b 6.9139
_cell_length_c 7.6738
_cell_angle_alpha 116.77
_cell_angle_beta 116.77
_cell_angle_gamma 90.00
loop_
_atom_site_label
_atom_site_type_symbol
_atom_site_fract_x
_atom_site_fract_y
_atom_site_fract_z
Pr1 Pr 0.6758 0.1758 0.0000
Pr2 Pr 0.3242 0.8242 0.0000
Pr3 Pr 0.8242 0.6758 0.0000
Pr4 Pr 0.1758 0.3242 0.0000
Pr5 Pr 0.2500 0.2500 0.5000
Pr6 Pr 0.7500 0.7500 0.5000
Ta1 Ta 0.7500 0.2500 0.5000
Ta2 Ta 0.2500 0.7500 0.5000
N1 N 0.0075 0.5075 0.7045
N2 N 0.6970 0.1970 0.7045
N3 N 0.1970 0.0075 0.7045
N4 N 0.5075 0.6970 0.7045
N5 N 0.9925 0.4925 0.2955
N6 N 0.3030 0.8030 0.2955
N7 N 0.8030 0.9925 0.2955
N8 N 0.4925 0.3030 0.2955
N9 N 0.5000 0.5000 0.0000
N10 N 0.0000 0.0000 0.0000
```

Calculated values
Energy relative to the elements, uncorrected (eV/atom): -1.0862
Density (g cm⁻³): 7.91
SG: No. 140

This record from the Alexandria database describes a geometry-optimized Pr2TaN3 structure. The functional is PBE.

Cell and atoms, written as CIF:
```
data_Pr2TaN3
_symmetry_space_group_name_H-M 'P 1'
_symmetry_Int_Tables_number 1
_symmetry_space_group_name_Hall 'P 1'
_cell_length_a 5.7476
_cell_length_b 6.0020
_cell_length_c 6.0020
_cell_angle_alpha 66.36
_cell_angle_beta 89.99
_cell_angle_gamma 89.99
loop_
_atom_site_label
_atom_site_type_symbol
_atom_site_fract_x
_atom_site_fract_y
_atom_site_fract_z
Pr1 Pr 0.7499 0.1692 0.4864
Pr2 Pr 0.2499 0.4864 0.1692
Pr3 Pr 0.7501 0.5136 0.8308
Pr4 Pr 0.2501 0.8308 0.5136
Ta1 Ta 0.7500 0.9036 0.0964
Ta2 Ta 0.2500 0.0964 0.9036
N1 N 0.2500 0.3884 0.6116
N2 N 0.7500 0.6116 0.3884
N3 N 0.0000 0.8525 0.8524
N4 N 0.5000 0.1476 0.1475
N5 N 0.5000 0.8524 0.8525
N6 N 0.0000 0.1475 0.1476
```

Calculated values
Energy relative to the elements, uncorrected (eV/atom): -1.1470
Offset from the most stable computed form (meV/atom): 102
Density (g cm⁻³): 8.84
SG: No. 63

This record from the Alexandria database describes a geometry-optimized Pr4TaN5 structure. The functional is PBE.

Cell and atoms, written as CIF:
```
data_Pr4TaN5
_symmetry_space_group_name_H-M 'P 1'
_symmetry_Int_Tables_number 1
_symmetry_space_group_name_Hall 'P 1'
_cell_length_a 5.2191
_cell_length_b 6.1697
_cell_length_c 6.1697
_cell_angle_alpha 79.69
_cell_angle_beta 64.98
_cell_angle_gamma 64.98
loop_
_atom_site_label
_atom_site_type_symbol
_atom_site_fract_x
_atom_site_fract_y
_atom_site_fract_z
Pr1 Pr 0.3965 0.4093 0.8023
Pr2 Pr 0.8058 0.8023 0.5907
Pr3 Pr 0.1988 0.1977 0.4093
Pr4 Pr 0.6081 0.5907 0.1977
Ta1 Ta 0.0563 0.0000 0.0000
N1 N 0.9164 0.3493 0.8279
N2 N 0.2657 0.8279 0.6507
N3 N 0.7443 0.1721 0.3493
N4 N 0.0936 0.6507 0.1721
N5 N 0.4248 0.0000 0.0000
```

Calculated values
Energy relative to the elements, uncorrected (eV/atom): -1.2612
Density (g cm⁻³): 8.29
SG: No. 79

This record from the Alexandria database describes a geometry-optimized PrTaN structure. The functional is PBE.

Cell and atoms, written as CIF:
```
data_PrTaN
_symmetry_space_group_name_H-M 'P 1'
_symmetry_Int_Tables_number 1
_symmetry_space_group_name_Hall 'P 1'
_cell_length_a 3.0392
_cell_length_b 3.0392
_cell_length_c 6.6122
_cell_angle_alpha 103.29
_cell_angle_beta 103.29
_cell_angle_gamma 90.00
loop_
_atom_site_label
_atom_site_type_symbol
_atom_site_fract_x
_atom_site_fract_y
_atom_site_fract_z
Pr1 Pr 0.9744 0.9744 0.9489
N1 N 0.7545 0.7545 0.5089
Ta1 Ta 0.2711 0.2711 0.5422
```

Calculated values
Energy relative to the elements, uncorrected (eV/atom): -0.3723
Offset from the most stable computed form (meV/atom): 0
Density (g cm⁻³): 9.66
SG: No. 107

This record from the Alexandria database describes a geometry-optimized PrTaN structure. The functional is PBE.

Cell and atoms, written as CIF:
```
data_PrTaN
_symmetry_space_group_name_H-M 'P 1'
_symmetry_Int_Tables_number 1
_symmetry_space_group_name_Hall 'P 1'
_cell_length_a 3.6367
_cell_length_b 3.6367
_cell_length_c 8.9494
_cell_angle_alpha 90.00
_cell_angle_beta 90.00
_cell_angle_gamma 90.00
loop_
_atom_site_label
_atom_site_type_symbol
_atom_site_fract_x
_atom_site_fract_y
_atom_site_fract_z
Pr1 Pr 0.0000 0.5000 0.8129
Pr2 Pr 0.5000 0.0000 0.1871
N1 N 0.0000 0.5000 0.3338
N2 N 0.5000 0.0000 0.6662
Ta1 Ta 0.5000 0.5000 0.5000
Ta2 Ta 0.0000 0.0000 0.5000
```

Calculated values
Energy relative to the elements, uncorrected (eV/atom): -0.1913
Offset from the most stable computed form (meV/atom): 181
Density (g cm⁻³): 9.42
SG: No. 129

This record from the Alexandria database describes a geometry-optimized Pr3Ta2N6 structure. The functional is PBE.

Cell and atoms, written as CIF:
```
data_Pr3Ta2N6
_symmetry_space_group_name_H-M 'P 1'
_symmetry_Int_Tables_number 1
_symmetry_space_group_name_Hall 'P 1'
_cell_length_a 4.0578
_cell_length_b 4.0578
_cell_length_c 10.4671
_cell_angle_alpha 101.17
_cell_angle_beta 101.17
_cell_angle_gamma 90.00
loop_
_atom_site_label
_atom_site_type_symbol
_atom_site_fract_x
_atom_site_fract_y
_atom_site_fract_z
Pr1 Pr 0.1822 0.1822 0.3642
Pr2 Pr 0.8178 0.8178 0.6358
Pr3 Pr 0.0000 0.0000 0.0000
N1 N 0.5841 0.0841 0.1684
N2 N 0.0841 0.5841 0.1684
N3 N 0.4159 0.9159 0.8316
N4 N 0.9159 0.4159 0.8316
N5 N 0.6976 0.6976 0.3953
N6 N 0.3024 0.3024 0.6047
Ta1 Ta 0.6007 0.6007 0.2014
Ta2 Ta 0.3993 0.3993 0.7986
```

Calculated values
Energy relative to the elements, uncorrected (eV/atom): -1.3335
Density (g cm⁻³): 8.70
SG: No. 139

This record from the Alexandria database describes a geometry-optimized Pr5TaN6 structure. The functional is PBE.

Cell and atoms, written as CIF:
```
data_Pr5TaN6
_symmetry_space_group_name_H-M 'P 1'
_symmetry_Int_Tables_number 1
_symmetry_space_group_name_Hall 'P 1'
_cell_length_a 6.1598
_cell_length_b 6.1994
_cell_length_c 6.1941
_cell_angle_alpha 59.97
_cell_angle_beta 80.39
_cell_angle_gamma 70.52
loop_
_atom_site_label
_atom_site_type_symbol
_atom_site_fract_x
_atom_site_fract_y
_atom_site_fract_z
Pr1 Pr 0.5000 0.1642 0.6716
Pr2 Pr 0.0000 0.3329 0.3341
Pr3 Pr 0.5000 0.5000 0.0000
Pr4 Pr 0.0000 0.6671 0.6659
Pr5 Pr 0.5000 0.8358 0.3284
Ta1 Ta 0.0000 0.0000 0.0000
N1 N 0.7794 0.0740 0.2919
N2 N 0.2206 0.6341 0.2919
N3 N 0.2303 0.2194 0.0000
N4 N 0.7697 0.7806 0.0000
N5 N 0.7794 0.3659 0.7081
N6 N 0.2206 0.9260 0.7081
```

Calculated values
Energy relative to the elements, uncorrected (eV/atom): -1.2513
Density (g cm⁻³): 8.34
SG: No. 12

This record from the Alexandria database describes a geometry-optimized Tb2Pr3TaN6 structure. The functional is PBE.

Cell and atoms, written as CIF:
```
data_Tb2Pr3TaN6
_symmetry_space_group_name_H-M 'P 1'
_symmetry_Int_Tables_number 1
_symmetry_space_group_name_Hall 'P 1'
_cell_length_a 6.0354
_cell_length_b 6.0354
_cell_length_c 6.1149
_cell_angle_alpha 99.44
_cell_angle_beta 99.44
_cell_angle_gamma 119.95
loop_
_atom_site_label
_atom_site_type_symbol
_atom_site_fract_x
_atom_site_fract_y
_atom_site_fract_z
Tb1 Tb 0.3333 0.6667 0.0000
Tb2 Tb 0.6667 0.3333 0.0000
Pr1 Pr 0.1669 0.8331 0.5000
Pr2 Pr 0.8331 0.1669 0.5000
Pr3 Pr 0.5000 0.5000 0.5000
Ta1 Ta 0.0000 0.0000 0.0000
N1 N 0.9281 0.6239 0.7849
N2 N 0.7681 0.7681 0.2221
N3 N 0.0719 0.3761 0.2151
N4 N 0.6239 0.9281 0.7849
N5 N 0.2319 0.2319 0.7779
N6 N 0.3761 0.0719 0.2151
```

Calculated values
Energy relative to the elements, uncorrected (eV/atom): -1.3895
Density (g cm⁻³): 9.16
SG: No. 12

This record from the Alexandria database describes a geometry-optimized TbPr2TaN4 structure. The functional is PBE.

Cell and atoms, written as CIF:
```
data_TbPr2TaN4
_symmetry_space_group_name_H-M 'P 1'
_symmetry_Int_Tables_number 1
_symmetry_space_group_name_Hall 'P 1'
_cell_length_a 6.9274
_cell_length_b 6.9274
_cell_length_c 7.0191
_cell_angle_alpha 120.44
_cell_angle_beta 120.44
_cell_angle_gamma 89.81
loop_
_atom_site_label
_atom_site_type_symbol
_atom_site_fract_x
_atom_site_fract_y
_atom_site_fract_z
Tb1 Tb 0.0000 0.5000 0.0000
Tb2 Tb 0.0000 0.5000 0.5000
Pr1 Pr 0.5000 0.0000 0.0000
Pr2 Pr 0.5000 0.0000 0.5000
Pr3 Pr 0.0000 0.0000 0.5000
Pr4 Pr 0.5000 0.5000 0.0000
Ta1 Ta 0.5000 0.5000 0.5000
Ta2 Ta 0.0000 0.0000 0.0000
N1 N 0.2138 0.7675 0.9907
N2 N 0.7325 0.2862 0.5093
N3 N 0.2675 0.7138 0.4907
N4 N 0.7862 0.2325 0.0093
N5 N 0.7543 0.7456 0.9619
N6 N 0.7544 0.7457 0.5381
N7 N 0.2456 0.2543 0.4619
N8 N 0.2457 0.2544 0.0381
```

Calculated values
Energy relative to the elements, uncorrected (eV/atom): -1.3129
Density (g cm⁻³): 9.56
SG: No. 74

Question: Which formula does entry 4 have?
Answer: Pr4TaN5

Question: Which of these has the lowest density?
Answer: Pr3TaN5

Question: What is the density in the ninth record?
Answer: 9.16 g cm⁻³

Question: Which formula does entry 4 have?
Answer: Pr4TaN5